# 1
Material: RbScMn2Ag
Method: DFT, GGA-PBE
State: optimized geometry

Cell: 4.956 4.956 6.141 Å, 90.00 90.00 90.00°
Sites, in units of the cell vectors:
Rb 0.000 0.000 0.000
Sc 0.000 0.000 0.500
Mn 0.000 0.500 0.500
Mn 0.500 0.000 0.500
Ag 0.500 0.500 0.000

As for the symmetry: No. 123. The energy of formation from the pure elements is 6.69 eV/f.u.

# 2
Material: Tl2TcAs
Method: DFT, GGA-PBE
State: optimized geometry

Cell: 10.125 10.125 10.125 Å, 17.96 17.96 17.96°
Sites, in units of the cell vectors:
Tl 0.244 0.244 0.244
Tl 0.756 0.756 0.756
Tc 0.500 0.500 0.500
As 0.000 0.000 0.000

The value obtained for the energy above the most stable polymorph in this dataset is 2.42 eV per formula unit. As for the symmetry: No. 166. The energy of formation from the pure elements is 2.87 eV/f.u.

# 3
Material: SrSi2Rh
Method: DFT, GGA-PBE
State: optimized geometry

Cell: 4.688 4.688 4.688 Å, 60.00 60.00 60.00°
Sites, in units of the cell vectors:
Sr 0.000 0.000 0.000
Si 0.250 0.250 0.250
Si 0.750 0.750 0.750
Rh 0.500 0.500 0.500

The final energy is -4.97 eV per atom. As for the symmetry: No. 225.

# 4
Material: Sr2ZrTl
Method: DFT, GGA-PBE
State: optimized geometry

Cell: 7.089 7.089 7.089 Å, 148.44 131.78 58.78°
Sites, in units of the cell vectors:
Sr 0.000 0.000 0.000
Sr 0.708 0.208 0.500
Zr 0.426 0.426 0.000
Tl 0.243 0.743 0.500

The value obtained for the energy above the most stable polymorph in this dataset is 0.10 eV per formula unit. As for the symmetry: No. 44. The energy of formation from the pure elements is 0.59 eV/f.u.

# 5
Material: TaTeP2
Method: DFT, GGA-PBE
State: optimized geometry

Cell: 3.844 3.678 5.418 Å, 90.00 92.81 90.00°
Sites, in units of the cell vectors:
Ta 0.000 0.000 0.000
Te 0.500 0.500 0.500
P 0.000 0.000 0.500
P 0.500 0.500 0.000

The final energy is -6.20 eV per atom. As for the symmetry: No. 10.

# 6
Material: PrYScIn
Method: DFT, GGA-PBE
State: optimized geometry

Cell: 5.432 5.432 5.432 Å, 60.00 60.00 60.00°
Sites, in units of the cell vectors:
Pr 0.000 0.000 0.000
Y 0.500 0.500 0.500
Sc 0.250 0.250 0.250
In 0.750 0.750 0.750

The value obtained for the energy above the most stable polymorph in this dataset is 0.31 eV per formula unit. As for the symmetry: No. 216. The energy of formation from the pure elements is -0.70 eV/f.u.

# 7
Material: Ca2TaHg
Method: DFT, GGA-PBE
State: optimized geometry

Cell: 5.834 5.834 3.207 Å, 90.00 90.00 111.09°
Sites, in units of the cell vectors:
Ca 0.000 0.500 0.000
Ca 0.500 0.000 0.000
Ta 0.000 0.000 0.500
Hg 0.500 0.500 0.500

As for the symmetry: No. 65. The energy of formation from the pure elements is 1.66 eV/f.u.

# 8
Material: Tb2ZnAu4
Method: DFT, GGA-PBE
State: optimized geometry

Cell: 5.039 5.039 7.873 Å, 117.05 117.05 61.37°
Sites, in units of the cell vectors:
Tb 0.063 0.063 0.282
Tb 0.937 0.937 0.718
Zn 0.500 0.500 0.500
Au 0.281 0.281 0.728
Au 0.319 0.319 0.114
Au 0.681 0.681 0.886
Au 0.719 0.719 0.272

The value obtained for the energy above the most stable polymorph in this dataset is 0.00 eV per formula unit. As for the symmetry: No. 12. The energy of formation from the pure elements is -4.71 eV/f.u.

# 9
Material: TaTiPCl2
Method: DFT, GGA-PBE
State: optimized geometry

Cell: 4.515 4.515 5.222 Å, 90.00 90.00 90.00°
Sites, in units of the cell vectors:
Ta 0.000 0.000 0.000
Ti 0.500 0.500 0.500
P 0.500 0.500 0.000
Cl 0.000 0.500 0.500
Cl 0.500 0.000 0.500

The value obtained for the energy above the most stable polymorph in this dataset is 0.32 eV per formula unit. As for the symmetry: No. 123.

# 10
Material: Na3GaPd3O8
Method: DFT, GGA-PBE
State: optimized geometry

Cell: 6.345 6.345 6.380 Å, 116.10 116.10 57.29°
Sites, in units of the cell vectors:
Na 0.000 0.000 0.000
Na 0.000 0.500 0.000
Na 0.500 0.000 0.000
Ga 0.000 0.000 0.500
Pd 0.000 0.500 0.500
Pd 0.500 0.000 0.500
Pd 0.500 0.500 0.500
O 0.216 0.720 0.678
O 0.218 0.218 0.693
O 0.231 0.231 0.271
O 0.280 0.784 0.322
O 0.720 0.216 0.678
O 0.769 0.769 0.729
O 0.782 0.782 0.307
O 0.784 0.280 0.322

The final energy is -5.15 eV per atom. As for the symmetry: No. 12.

Calculated volume in Å³ per atom, matching the order above: 30.2; 21.6; 18.2; 34.5; 19.1; 28.3; 25.5; 21.3; 21.3; 12.5